# MgTeS (PBE, optimized geometry)
# formation energy from raw total energies = -576 meV per atom
# DOS at the Fermi energy = 1.649 states/eV per cell
# polymorph energy (0 for the lowest one) = 0.07 eV/f.u.
data_MgTeS
_symmetry_space_group_name_H-M 'P 1'
_symmetry_Int_Tables_number 1
_symmetry_space_group_name_Hall 'P 1'
_cell_length_a 3.204
_cell_length_b 3.360
_cell_length_c 8.661
_cell_angle_alpha 100.55
_cell_angle_beta 100.39
_cell_angle_gamma 90.00
loop_
_atom_site_label
_atom_site_type_symbol
_atom_site_fract_x
_atom_site_fract_y
_atom_site_fract_z
_atom_site_occupancy
Mg1 Mg 0.412 0.043 0.335 1
Te1 Te 0.241 0.878 0.987 1
S1 S 0.963 0.592 0.440 1